TeI2NF: optimized geometry, PBEsol.

Fermi-level density of states (states/eV/cell): 3.221
Total DFT energy (no corrections) (eV/atom): -2.475
Symmetry: No. 123
M_tot (μB/f.u.): 1.9

a = 3.2909 Å, b = 6.3155 Å, c = 6.3155 Å
α = 90.00°, β = 90.00°, γ = 90.00°
Fractional coordinates of all 5 atoms:
N: 0.5000 0.0000 0.0000
I: 0.0000 0.0000 0.5000
I: 0.0000 0.5000 0.0000
Te: 0.5000 0.5000 0.5000
F: 0.0000 0.0000 0.0000